No. 1
Tm2NiHg | Alexandria | PBE | optimized geometry; distance to the lowest polymorph of the same formula = 0 meV per atom; space-group type = P4/mmm; magnetization = 0.0 μB per formula unit; energy relative to the elements = -0.476 eV/atom
1.0
-0.463 3.198 -1.102
-2.366 0.489 2.413
5.241 2.365 4.661
Ni Tm Hg
1 2 1
direct
0.500 0.500 0.000 Ni
0.000 0.000 0.784 Tm
0.000 0.000 0.216 Tm
0.500 0.500 0.500 Hg

No. 2
TcNi4 | Alexandria | PBE | optimized geometry; distance to the lowest polymorph of the same formula = 1571 meV per atom; space-group type = Pm-3m; magnetization = 0.0 μB per formula unit; energy relative to the elements = 1.548 eV/atom
1.0
-2.584 -0.502 -3.517
1.958 -3.831 -0.892
-2.965 -2.092 2.477
Ni Tc
4 1
direct
0.000 0.000 0.000 Ni
0.500 0.000 0.500 Ni
0.000 0.500 0.500 Ni
0.500 0.500 0.000 Ni
0.500 0.500 0.500 Tc

No. 3
MgBiTe2I | Alexandria | PBE | optimized geometry; distance to the lowest polymorph of the same formula = 0 meV per atom; formation energy from raw total energies = 0.0417 eV/atom; space-group type = P4/mmm; magnetization = 0.0 μB per formula unit
1.0
5.565 0.000 0.000
0.000 5.565 0.000
0.000 0.000 5.406
I Mg Te Bi
1 1 2 1
direct
0.000 0.000 0.500 I
0.000 0.000 0.000 Mg
0.000 0.500 0.000 Te
0.500 0.000 0.000 Te
0.500 0.500 0.500 Bi

No. 4
BeSbAs2 | Alexandria | PBE | optimized geometry; distance to the lowest polymorph of the same formula = 181 meV per atom; formation energy from raw total energies = 0.2088 eV/atom; space-group type = Cm; magnetization = 0.0 μB per formula unit
1.0
-4.521 -1.612 2.967
-1.839 -3.939 3.599
0.022 1.503 5.442
Sb As Be
1 2 1
direct
0.849 0.849 0.665 Sb
0.983 0.983 0.125 As
0.134 0.134 0.400 As
0.534 0.534 0.310 Be

No. 5
ThSi2Mo2 | Alexandria | PBE | optimized geometry; distance to the lowest polymorph of the same formula = 234 meV per atom; formation energy from raw total energies = -0.1745 eV/atom; space-group type = C2/c; magnetization = 0.0 μB per formula unit
1.0
-1.618 -0.680 -6.264
-3.067 -4.812 3.123
-1.726 5.790 2.282
Th Si Mo
2 4 4
direct
0.875 0.625 0.750 Th
0.125 0.375 0.250 Th
0.163 0.337 0.750 Si
0.412 0.088 0.250 Si
0.588 0.912 0.750 Si
0.837 0.663 0.250 Si
0.252 0.001 0.505 Mo
0.501 0.752 0.005 Mo
0.748 0.999 0.495 Mo
0.499 0.248 0.995 Mo

No. 6
Li4SnAu2 | Alexandria | PBE | optimized geometry; distance to the lowest polymorph of the same formula = 180 meV per atom; space-group type = I4/mmm; magnetization = 0.0 μB per formula unit; energy relative to the elements = -0.179 eV/atom
1.0
-4.951 0.355 -0.991
-0.668 -4.741 1.642
1.996 3.931 4.362
Li Sn Au
4 1 2
direct
0.750 0.250 0.500 Li
0.250 0.750 0.500 Li
0.500 0.000 0.000 Li
0.000 0.500 0.000 Li
0.000 0.000 0.000 Sn
0.639 0.639 0.278 Au
0.361 0.361 0.722 Au